The following is a PBE calculation of a relaxed Pr6Dy4Ho crystal, from Alexandria.

Cell: 9.5519 9.5519 9.5519 Å, 137.94 137.94 60.99°
Last column: nearest neighbours and their distance in Å.
Positions (direct):
Pr1 0.0000 0.5000 0.5000  4 Dy 3.14, 2 Ho 3.43
Pr2 0.0136 0.6295 0.0000  5 Dy 3.44-3.82, 1 Ho 3.48, 3 Pr 3.72-3.85
Pr3 0.3705 0.3705 0.3841  5 Dy 3.44-3.82, 1 Ho 3.48, 3 Pr 3.72-3.85
Pr4 0.5000 0.0000 0.5000  4 Dy 3.14, 2 Ho 3.43
Pr5 0.6295 0.0136 0.0000  5 Dy 3.44-3.82, 1 Ho 3.48, 3 Pr 3.72-3.85
Pr6 0.9864 0.9864 0.6159  5 Dy 3.44-3.82, 1 Ho 3.48, 3 Pr 3.72-3.85
Dy1 0.2125 0.2125 0.6509  3 Pr 3.14-3.44, 1 Dy 3.38
Dy2 0.4384 0.7875 0.0000  3 Pr 3.14-3.44, 1 Dy 3.38
Dy3 0.5616 0.5616 0.3491  3 Pr 3.14-3.44, 1 Dy 3.38
Dy4 0.7875 0.4384 0.0000  3 Pr 3.14-3.44, 1 Dy 3.38
Ho1 0.0000 0.0000 0.0000  8 Pr 3.43-3.48, 4 Dy 3.66

Values from the calculation:
The formation energy is 3.2 eV per formula unit. The space-group type is I-42m (121). For the density of states at the Fermi level, the calculation gives 15.373 states/eV/f.u.